Entry from the Alexandria database: an optimized crystal structure of LaHo3Te6 (PBE).

a = 12.518 Å, b = 4.413 Å, c = 12.852 Å
α = 90.00°, β = 109.34°, γ = 90.00°
Atoms (fractional coordinates):
La (0.048, 0.250, 0.198)
La (0.952, 0.750, 0.802)
Ho (0.156, 0.250, 0.584)
Ho (0.319, 0.750, 0.999)
Ho (0.439, 0.250, 0.335)
Ho (0.561, 0.750, 0.665)
Ho (0.681, 0.250, 0.001)
Ho (0.844, 0.750, 0.416)
Te (0.085, 0.750, 0.406)
Te (0.119, 0.250, 0.967)
Te (0.197, 0.750, 0.750)
Te (0.262, 0.750, 0.225)
Te (0.391, 0.250, 0.558)
Te (0.483, 0.250, 0.116)
Te (0.517, 0.750, 0.884)
Te (0.609, 0.750, 0.442)
Te (0.738, 0.250, 0.775)
Te (0.803, 0.250, 0.250)
Te (0.881, 0.750, 0.033)
Te (0.915, 0.250, 0.594)

Results
Formation energy without anion corrections = -1439 meV per atom
Magnetization = 0.00 μB/cell